Record 1
Material: Na2TaI2
Method: DFT, PBE
State: optimized geometry

Cell lengths 9.029, 9.029, 3.712 Å; angles 90.00, 90.00, 90.00 degrees
Fractional positions:
Na (0.638, 0.138, 0.000)
Na (0.138, 0.362, 0.000)
Na (0.362, 0.862, 0.000)
Na (0.862, 0.638, 0.000)
Ta (0.000, 0.000, 0.000)
Ta (0.500, 0.500, 0.000)
I (0.164, 0.664, 0.500)
I (0.836, 0.336, 0.500)
I (0.664, 0.836, 0.500)
I (0.336, 0.164, 0.500)

Total magnetic moment (Bohr magnetons per cell): 6.884
Uncorrected energy (eV/atom): -3.086
Excess energy over the best structure of this formula in the dataset (meV/atom): 0.0
Uncorrected formation energy (meV/atom): 432

***

Record 2
Material: NaTaI3
Method: DFT, PBE
State: optimized geometry

Cell lengths 5.788, 5.788, 5.788 Å; angles 90.00, 90.00, 90.00 degrees
Fractional positions:
I (0.500, 0.000, 0.000)
I (0.000, 0.000, 0.500)
I (0.000, 0.500, 0.000)
Na (0.500, 0.500, 0.500)
Ta (0.000, 0.000, 0.000)

Total magnetic moment (Bohr magnetons per cell): 3.000
Uncorrected energy (eV/atom): -3.618
Uncorrected formation energy (meV/atom): -54

***

Record 3
Material: NaTaI2
Method: DFT, PBE
State: optimized geometry

Cell lengths 6.080, 6.080, 9.336 Å; angles 71.00, 71.00, 90.00 degrees
Fractional positions:
I (0.875, 0.915, 0.750)
I (0.375, 0.335, 0.750)
I (0.085, 0.625, 0.250)
I (0.665, 0.125, 0.250)
Na (0.500, 0.500, 0.000)
Na (0.250, 0.750, 0.500)
Ta (0.000, 0.000, 0.000)
Ta (0.750, 0.250, 0.500)

Total magnetic moment (Bohr magnetons per cell): 7.802
Uncorrected energy (eV/atom): -3.650
Excess energy over the best structure of this formula in the dataset (meV/atom): 16.0
Uncorrected formation energy (meV/atom): 418